Record 1
Density functional theory data (GGA-PBE) for a relaxed structure of Na3MgPd.

Structure (CIF):
```
data_Na3MgPd
_cell_length_a 5.476
_cell_length_b 5.476
_cell_length_c 5.476
_cell_angle_alpha 90.00
_cell_angle_beta 90.00
_cell_angle_gamma 90.00
_symmetry_space_group_name_H-M 'P 1'
_symmetry_Int_Tables_number 1
loop_
_symmetry_equiv_pos_as_xyz
'x,y,z'
loop_
_atom_site_label
_atom_site_fract_x
_atom_site_fract_y
_atom_site_fract_z
Na1 0.000 0.000 0.500
Na2 0.000 0.500 0.000
Na3 0.500 0.000 0.000
Mg1 0.500 0.500 0.500
Pd1 0.000 0.000 0.000
```

## Properties
N(E_F)   0.628 states/eV/atom
Magnetization   0.00 μB/cell
Theoretical density   2.02 g cm⁻³
Calculated volume   32.8 Å³ per atom
Electronic total energy   -1.94 eV per atom

Record 2
Density functional theory data (GGA-PBE) for a relaxed structure of NaMg2Pd4.

Structure (CIF):
```
data_NaMg2Pd4
_cell_length_a 7.434
_cell_length_b 7.434
_cell_length_c 7.434
_cell_angle_alpha 144.07
_cell_angle_beta 144.07
_cell_angle_gamma 51.72
_symmetry_space_group_name_H-M 'P 1'
_symmetry_Int_Tables_number 1
loop_
_symmetry_equiv_pos_as_xyz
'x,y,z'
loop_
_atom_site_label
_atom_site_fract_x
_atom_site_fract_y
_atom_site_fract_z
Na1 0.000 0.000 0.000
Mg1 0.377 0.377 0.000
Mg2 0.623 0.623 0.000
Pd1 0.000 0.500 0.500
Pd2 0.188 0.188 0.000
Pd3 0.500 0.000 0.500
Pd4 0.812 0.812 0.000
```

## Properties
N(E_F)   0.399 states/eV/atom
Magnetization   0.00 μB/cell
Theoretical density   5.87 g cm⁻³
Calculated volume   20.1 Å³ per atom
Electronic total energy   -3.32 eV per atom

magnetization of number 1 (Na3MgPd)?
0.00 μB/cell

What is the formula in the second record?
NaMg2Pd4

theoretical density of number 1 (Na3MgPd)?
2.02 g cm⁻³

Look up the N(E_F) of the first one.
0.628 states/eV/atom